(1)
RuN2OF: optimized geometry, PBE-GGA.

Output
**Calculated total energy**: -5.83 eV per atom
**SG**: P4/mmm (123)
**DOS(E_F)**: 2.569 states/eV/f.u.
**Raw formation energy**: 3.6 eV/f.u.
**Total magnetic moment**: 2.4 μB/f.u.

The structure in POSCAR format:
```
RuN2OF
1.0
3.887 0.000 0.000
0.000 3.887 0.000
0.000 0.000 3.741
Ru N O F
1 2 1 1
Direct
0.000 0.000 0.000
0.000 0.500 0.000
0.500 0.000 0.000
0.000 0.000 0.500
0.500 0.500 0.500
```



(2)
RuNO2F: optimized geometry, PBE-GGA.

Output
**Calculated total energy**: -4.67 eV per atom
**SG**: P4/mmm (123)
**DOS(E_F)**: 2.496 states/eV/f.u.
**Raw formation energy**: 6.0 eV/f.u.
**Total magnetic moment**: 5.0 μB/f.u.

The structure in POSCAR format:
```
RuNO2F
1.0
3.720 0.000 0.000
0.000 3.720 0.000
0.000 0.000 3.607
Ru N O F
1 1 2 1
Direct
0.000 0.000 0.000
0.500 0.500 0.500
0.000 0.500 0.500
0.500 0.000 0.500
0.500 0.500 0.000
```



(3)
RuN2OF: optimized geometry, PBE-GGA.

Output
**Calculated total energy**: -4.56 eV per atom
**SG**: P4/mmm (123)
**DOS(E_F)**: 3.605 states/eV/f.u.
**Raw formation energy**: 10.0 eV/f.u.
**Total magnetic moment**: 2.2 μB/f.u.

The structure in POSCAR format:
```
RuN2OF
1.0
3.636 0.000 0.000
0.000 3.636 0.000
0.000 0.000 3.574
Ru N O F
1 2 1 1
Direct
0.000 0.000 0.000
0.000 0.500 0.500
0.500 0.000 0.500
0.500 0.500 0.500
0.500 0.500 0.000
```



(4)
RuNO2F: optimized geometry, PBE-GGA.

Output
**Calculated total energy**: -3.97 eV per atom
**SG**: P4/mmm (123)
**DOS(E_F)**: 4.168 states/eV/f.u.
**Raw formation energy**: 9.5 eV/f.u.
**Total magnetic moment**: 0.0 μB/f.u.

The structure in POSCAR format:
```
RuNO2F
1.0
3.698 0.000 0.000
0.000 3.698 0.000
0.000 0.000 3.493
Ru N O F
1 1 2 1
Direct
0.000 0.000 0.000
0.500 0.500 0.000
0.000 0.500 0.500
0.500 0.000 0.500
0.500 0.500 0.500
```



(5)
RuNO2F: optimized geometry, PBE-GGA.

Output
**Calculated total energy**: -5.74 eV per atom
**SG**: P4/mmm (123)
**DOS(E_F)**: 2.049 states/eV/f.u.
**Raw formation energy**: 0.7 eV/f.u.
**Total magnetic moment**: 1.4 μB/f.u.

The structure in POSCAR format:
```
RuNO2F
1.0
3.734 0.000 0.000
0.000 3.734 0.000
0.000 0.000 3.940
Ru N O F
1 1 2 1
Direct
0.000 0.000 0.000
0.000 0.000 0.500
0.000 0.500 0.000
0.500 0.000 0.000
0.500 0.500 0.500
```



(6)
RuN2OF: optimized geometry, PBE-GGA.

Output
**Calculated total energy**: -4.20 eV per atom
**SG**: P4/mmm (123)
**DOS(E_F)**: 3.806 states/eV/f.u.
**Raw formation energy**: 11.7 eV/f.u.
**Total magnetic moment**: 0.5 μB/f.u.

The structure in POSCAR format:
```
RuN2OF
1.0
3.574 0.000 0.000
0.000 3.574 0.000
0.000 0.000 3.691
Ru N O F
1 2 1 1
Direct
0.000 0.000 0.000
0.000 0.500 0.500
0.500 0.000 0.500
0.500 0.500 0.000
0.500 0.500 0.500
```



(7)
SbNO2F: optimized geometry, PBE-GGA.

Output
**Calculated total energy**: -3.67 eV per atom
**SG**: P4/mmm (123)
**DOS(E_F)**: 3.289 states/eV/f.u.
**Raw formation energy**: 5.9 eV/f.u.
**Total magnetic moment**: 0.7 μB/f.u.

The structure in POSCAR format:
```
SbNO2F
1.0
3.894 0.000 0.000
0.000 3.894 0.000
0.000 0.000 3.635
Sb N O F
1 1 2 1
Direct
0.000 0.000 0.000
0.500 0.500 0.000
0.000 0.500 0.500
0.500 0.000 0.500
0.500 0.500 0.500
```



(8)
SbNO2F: optimized geometry, PBE-GGA.

Output
**Calculated total energy**: -4.40 eV per atom
**SG**: P4/mmm (123)
**DOS(E_F)**: 0.499 states/eV/f.u.
**Raw formation energy**: 2.3 eV/f.u.
**Total magnetic moment**: 0.0 μB/f.u.

The structure in POSCAR format:
```
SbNO2F
1.0
3.836 0.000 0.000
0.000 3.836 0.000
0.000 0.000 3.611
Sb N O F
1 1 2 1
Direct
0.000 0.000 0.000
0.500 0.500 0.500
0.000 0.500 0.500
0.500 0.000 0.500
0.500 0.500 0.000
```



Question: Which formula does entry 2 have?
Answer: RuNO2F